Here is KLiTb2Mo4O16 after structural relaxation from Alexandria via LeMat-Bulk. Energies are from PBE+U.

a = 5.293 Å, b = 12.799 Å, c = 19.849 Å
α = 90.00°, β = 94.17°, γ = 90.00°
Space group C2/c (No. 15)
Asymmetric unit:
K 0.000 0.032 0.250 [4 per cell]
Li 0.000 0.312 0.250 [4 per cell]
Tb 0.001 0.147 0.468 [8 per cell]
Mo 0.017 0.255 0.646 [8 per cell]
Mo 0.022 0.438 0.091 [8 per cell]
O 0.098 0.408 0.330 [8 per cell]
O 0.119 0.135 0.831 [8 per cell]
O 0.163 0.333 0.041 [8 per cell]
O 0.184 0.238 0.566 [8 per cell]
O 0.228 0.451 0.600 [8 per cell]
O 0.232 0.294 0.713 [8 per cell]
O 0.239 0.020 0.538 [8 per cell]
O 0.245 0.345 0.870 [8 per cell]

Values from the calculation:
- volume (Å³ per atom) = 13.97
- total DFT energy (no corrections) (eV per cell) = -687.1
- crystal system = monoclinic